[1]
Material: USnH2
Method: DFT, PBE
State: relaxed

Unit cell a=5.586 b=5.586 c=5.586 alpha=37.88 beta=37.88 gamma=37.88
Fractional coordinates of all 4 atoms:
U 0.000 0.000 0.000
Sn 0.500 0.500 0.500
H 0.303 0.303 0.303
H 0.697 0.697 0.697

Values from the calculation:
Mass density   10.1 g cm⁻³
Uncorrected energy   -22.6 eV for the cell shown

=====

[2]
Material: VSn2H
Method: DFT, PBE
State: relaxed

Unit cell a=4.690 b=4.690 c=4.690 alpha=60.00 beta=60.00 gamma=60.00
Fractional coordinates of all 4 atoms:
V 0.000 0.000 0.000
Sn 0.250 0.250 0.250
Sn 0.750 0.750 0.750
H 0.500 0.500 0.500

Values from the calculation:
Mass density   6.6 g cm⁻³
Uncorrected energy   -17.9 eV for the cell shown

=====

[3]
Material: VSn2H
Method: DFT, PBE
State: relaxed

Unit cell a=5.608 b=5.608 c=5.608 alpha=108.94 beta=108.94 gamma=110.54
Fractional coordinates of all 8 atoms:
V 0.000 0.000 0.000
V 0.750 0.250 0.500
Sn 0.199 0.625 0.074
Sn 0.375 0.449 0.574
Sn 0.551 0.125 0.926
Sn 0.875 0.801 0.426
H 0.250 0.750 0.500
H 0.500 0.500 0.000

Values from the calculation:
Mass density   7.1 g cm⁻³
Uncorrected energy   -37.6 eV for the cell shown

=====

[4]
Material: VSnH3
Method: DFT, PBE
State: relaxed

Unit cell a=3.585 b=3.585 c=3.585 alpha=90.00 beta=90.00 gamma=90.00
Fractional coordinates of all 5 atoms:
V 0.000 0.000 0.000
Sn 0.500 0.500 0.500
H 0.000 0.000 0.500
H 0.000 0.500 0.000
H 0.500 0.000 0.000

Values from the calculation:
Mass density   6.2 g cm⁻³
Uncorrected energy   -22.0 eV for the cell shown

=====

[5]
Material: V2SnH
Method: DFT, PBE
State: relaxed

Unit cell a=5.588 b=5.588 c=5.588 alpha=125.81 beta=125.81 gamma=80.20
Fractional coordinates of all 8 atoms:
V 0.000 0.000 0.000
V 0.000 0.000 0.500
V 0.000 0.500 0.000
V 0.500 0.000 0.500
Sn 0.375 0.625 0.750
Sn 0.625 0.375 0.250
H 0.125 0.875 0.250
H 0.875 0.125 0.750

Values from the calculation:
Mass density   6.6 g cm⁻³
Uncorrected energy   -50.2 eV for the cell shown

=====

[6]
Material: V2SnH
Method: DFT, PBE
State: relaxed

Unit cell a=4.356 b=4.356 c=4.356 alpha=60.00 beta=60.00 gamma=60.00
Fractional coordinates of all 4 atoms:
V 0.250 0.250 0.250
V 0.750 0.750 0.750
Sn 0.000 0.000 0.000
H 0.500 0.500 0.500

Values from the calculation:
Mass density   6.3 g cm⁻³
Uncorrected energy   -22.6 eV for the cell shown

=====

[7]
Material: VSnH3
Method: DFT, PBE
State: relaxed

Unit cell a=4.009 b=4.009 c=4.009 alpha=90.00 beta=90.00 gamma=90.00
Fractional coordinates of all 5 atoms:
V 0.000 0.000 0.000
Sn 0.500 0.500 0.500
H 0.000 0.500 0.500
H 0.500 0.000 0.500
H 0.500 0.500 0.000

Values from the calculation:
Mass density   4.4 g cm⁻³
Uncorrected energy   -18.3 eV for the cell shown

=====

[8]
Material: V2SnH
Method: DFT, PBE
State: relaxed

Unit cell a=6.607 b=6.607 c=6.607 alpha=27.09 beta=27.09 gamma=27.09
Fractional coordinates of all 4 atoms:
V 0.212 0.212 0.212
V 0.788 0.788 0.788
Sn 0.000 0.000 0.000
H 0.500 0.500 0.500

Values from the calculation:
Mass density   7.0 g cm⁻³
Uncorrected energy   -25.5 eV for the cell shown

=====

[9]
Material: V2SnH
Method: DFT, PBE
State: relaxed

Unit cell a=6.035 b=3.492 c=9.633 alpha=90.00 beta=90.00 gamma=90.00
Fractional coordinates of all 16 atoms:
V 0.125 0.250 0.240
V 0.134 0.250 0.588
V 0.366 0.750 0.088
V 0.375 0.750 0.740
V 0.625 0.250 0.260
V 0.634 0.250 0.912
V 0.866 0.750 0.412
V 0.875 0.750 0.760
Sn 0.146 0.250 0.901
Sn 0.354 0.750 0.401
Sn 0.646 0.250 0.599
Sn 0.854 0.750 0.099
H 0.111 0.750 0.645
H 0.389 0.250 0.145
H 0.611 0.750 0.855
H 0.889 0.250 0.355

Values from the calculation:
Mass density   7.3 g cm⁻³
Uncorrected energy   -103.0 eV for the cell shown

=====

[10]
Material: V2SnH2
Method: DFT, PBE
State: relaxed

Unit cell a=5.216 b=5.216 c=5.216 alpha=142.36 beta=142.36 gamma=54.28
Fractional coordinates of all 5 atoms:
V 0.172 0.172 0.000
V 0.828 0.828 0.000
Sn 0.500 0.500 0.000
H 0.250 0.750 0.500
H 0.750 0.250 0.500

Values from the calculation:
Mass density   7.0 g cm⁻³
Uncorrected energy   -29.3 eV for the cell shown

=====

[11]
Material: V5Sn2H2
Method: DFT, PBE
State: relaxed

Unit cell a=5.412 b=5.412 c=6.848 alpha=106.25 beta=106.25 gamma=40.37
Fractional coordinates of all 9 atoms:
V 0.000 0.000 0.000
V 0.108 0.108 0.661
V 0.348 0.348 0.041
V 0.652 0.652 0.959
V 0.892 0.892 0.339
Sn 0.391 0.391 0.656
Sn 0.609 0.609 0.344
H 0.162 0.162 0.940
H 0.838 0.838 0.060

Values from the calculation:
Mass density   6.6 g cm⁻³
Uncorrected energy   -59.6 eV for the cell shown

=====

[12]
Material: V2SnHW
Method: DFT, PBE
State: relaxed

Unit cell a=4.054 b=4.054 c=3.970 alpha=90.00 beta=90.00 gamma=90.00
Fractional coordinates of all 5 atoms:
V 0.000 0.500 0.000
V 0.500 0.000 0.000
Sn 0.000 0.000 0.500
H 0.500 0.500 0.000
W 0.500 0.500 0.500

Values from the calculation:
Mass density   10.3 g cm⁻³
Uncorrected energy   -38.1 eV for the cell shown

=====

[13]
Material: SnHW2
Method: DFT, PBE
State: relaxed

Unit cell a=6.015 b=6.015 c=6.015 alpha=129.23 beta=129.23 gamma=74.63
Fractional coordinates of all 8 atoms:
Sn 0.000 0.000 0.000
Sn 0.750 0.250 0.500
H 0.250 0.750 0.500
H 0.500 0.500 0.000
W 0.370 0.625 0.245
W 0.375 0.620 0.745
W 0.380 0.125 0.755
W 0.875 0.630 0.255

Values from the calculation:
Mass density   12.7 g cm⁻³
Uncorrected energy   -60.3 eV for the cell shown

=====

[14]
Material: SnHW2
Method: DFT, PBE
State: relaxed

Unit cell a=4.433 b=4.433 c=4.433 alpha=60.00 beta=60.00 gamma=60.00
Fractional coordinates of all 4 atoms:
Sn 0.000 0.000 0.000
H 0.500 0.500 0.500
W 0.250 0.250 0.250
W 0.750 0.750 0.750

Values from the calculation:
Mass density   13.1 g cm⁻³
Uncorrected energy   -27.7 eV for the cell shown

=====

[15]
Material: SnHW
Method: DFT, PBE
State: relaxed

Unit cell a=3.008 b=4.708 c=7.008 alpha=101.13 beta=102.22 gamma=90.04
Fractional coordinates of all 6 atoms:
Sn 0.072 0.289 0.141
Sn 0.928 0.711 0.859
H 0.326 0.140 0.654
H 0.674 0.860 0.346
W 0.252 0.751 0.507
W 0.748 0.249 0.493

Values from the calculation:
Mass density   10.6 g cm⁻³
Uncorrected energy   -38.8 eV for the cell shown

=====

[16]
Material: SnHW3
Method: DFT, PBE
State: relaxed

Unit cell a=4.940 b=4.940 c=4.940 alpha=90.00 beta=90.00 gamma=90.00
Fractional coordinates of all 5 atoms:
Sn 0.000 0.000 0.000
H 0.500 0.500 0.500
W 0.000 0.000 0.500
W 0.000 0.500 0.000
W 0.500 0.000 0.000

Values from the calculation:
Mass density   9.2 g cm⁻³
Uncorrected energy   -28.4 eV for the cell shown

=====

[17]
Material: SnHW3
Method: DFT, PBE
State: relaxed

Unit cell a=4.133 b=4.133 c=4.133 alpha=90.00 beta=90.00 gamma=90.00
Fractional coordinates of all 5 atoms:
Sn 0.000 0.000 0.000
H 0.500 0.500 0.500
W 0.000 0.500 0.500
W 0.500 0.000 0.500
W 0.500 0.500 0.000

Values from the calculation:
Mass density   15.8 g cm⁻³
Uncorrected energy   -43.5 eV for the cell shown

=====

[18]
Material: Sn3HW
Method: DFT, PBE
State: relaxed

Unit cell a=4.543 b=4.543 c=4.543 alpha=90.00 beta=90.00 gamma=90.00
Fractional coordinates of all 5 atoms:
Sn 0.000 0.000 0.500
Sn 0.000 0.500 0.000
Sn 0.500 0.000 0.000
H 0.000 0.000 0.000
W 0.500 0.500 0.500

Values from the calculation:
Mass density   9.6 g cm⁻³
Uncorrected energy   -24.0 eV for the cell shown

=====

[19]
Material: Y2SnHW
Method: DFT, PBE
State: relaxed

Unit cell a=5.412 b=5.412 c=5.186 alpha=90.00 beta=90.00 gamma=90.00
Fractional coordinates of all 5 atoms:
Y 0.000 0.500 0.000
Y 0.500 0.000 0.000
Sn 0.000 0.000 0.500
H 0.500 0.500 0.500
W 0.000 0.000 0.000

Values from the calculation:
Mass density   5.3 g cm⁻³
Uncorrected energy   -29.2 eV for the cell shown

=====

[20]
Material: YSn3H
Method: DFT, PBE
State: relaxed

Unit cell a=4.765 b=4.765 c=4.765 alpha=90.00 beta=90.00 gamma=90.00
Fractional coordinates of all 5 atoms:
Y 0.000 0.000 0.000
Sn 0.000 0.500 0.500
Sn 0.500 0.000 0.500
Sn 0.500 0.500 0.000
H 0.500 0.500 0.500

Values from the calculation:
Mass density   6.8 g cm⁻³
Uncorrected energy   -22.8 eV for the cell shown

=====

[21]
Material: Y2SnH2
Method: DFT, PBE
State: relaxed

Unit cell a=6.123 b=6.123 c=6.123 alpha=142.18 beta=142.18 gamma=54.55
Fractional coordinates of all 5 atoms:
Y 0.153 0.153 0.000
Y 0.847 0.847 0.000
Sn 0.500 0.500 0.000
H 0.250 0.750 0.500
H 0.750 0.250 0.500

Values from the calculation:
Mass density   5.8 g cm⁻³
Uncorrected energy   -27.3 eV for the cell shown

=====

[22]
Material: Y2Sn2H
Method: DFT, PBE
State: relaxed

Unit cell a=7.985 b=7.985 c=4.135 alpha=90.00 beta=90.00 gamma=90.00
Fractional coordinates of all 10 atoms:
Y 0.179 0.321 0.000
Y 0.321 0.821 0.000
Y 0.679 0.179 0.000
Y 0.821 0.679 0.000
Sn 0.126 0.626 0.500
Sn 0.374 0.126 0.500
Sn 0.626 0.874 0.500
Sn 0.874 0.374 0.500
H 0.000 0.000 0.500
H 0.500 0.500 0.500

Values from the calculation:
Mass density   5.2 g cm⁻³
Uncorrected energy   -49.1 eV for the cell shown

=====

[23]
Material: YSnH
Method: DFT, PBE
State: relaxed

Unit cell a=10.216 b=3.612 c=6.406 alpha=90.00 beta=90.00 gamma=90.00
Fractional coordinates of all 12 atoms:
Y 0.007 0.250 0.233
Y 0.493 0.750 0.733
Y 0.507 0.250 0.267
Y 0.993 0.750 0.767
Sn 0.236 0.250 0.575
Sn 0.264 0.750 0.075
Sn 0.736 0.250 0.925
Sn 0.764 0.750 0.425
H 0.045 0.250 0.910
H 0.455 0.750 0.410
H 0.545 0.250 0.590
H 0.955 0.750 0.090

Values from the calculation:
Mass density   5.9 g cm⁻³
Uncorrected energy   -61.7 eV for the cell shown

=====

[24]
Material: YSnH3
Method: DFT, PBE
State: relaxed

Unit cell a=4.130 b=4.130 c=4.130 alpha=90.00 beta=90.00 gamma=90.00
Fractional coordinates of all 5 atoms:
Y 0.000 0.000 0.000
Sn 0.500 0.500 0.500
H 0.000 0.000 0.500
H 0.000 0.500 0.000
H 0.500 0.000 0.000

Values from the calculation:
Mass density   5.0 g cm⁻³
Uncorrected energy   -20.9 eV for the cell shown

=====

[25]
Material: YSn2H
Method: DFT, PBE
State: relaxed

Unit cell a=7.056 b=7.056 c=7.056 alpha=131.59 beta=131.59 gamma=70.88
Fractional coordinates of all 8 atoms:
Y 0.000 0.000 0.000
Y 0.750 0.250 0.500
Sn 0.326 0.625 0.201
Sn 0.375 0.576 0.701
Sn 0.424 0.125 0.799
Sn 0.875 0.674 0.299
H 0.250 0.750 0.500
H 0.500 0.500 0.000

Values from the calculation:
Mass density   5.6 g cm⁻³
Uncorrected energy   -34.7 eV for the cell shown

=====

[26]
Material: Y4Sn3H2
Method: DFT, PBE
State: relaxed

Unit cell a=6.209 b=6.209 c=8.751 alpha=116.91 beta=116.91 gamma=43.44
Fractional coordinates of all 9 atoms:
Y 0.112 0.112 0.400
Y 0.303 0.303 0.883
Y 0.697 0.697 0.117
Y 0.888 0.888 0.600
Sn 0.000 0.000 0.000
Sn 0.379 0.379 0.323
Sn 0.621 0.621 0.677
H 0.317 0.317 0.632
H 0.683 0.683 0.368

Values from the calculation:
Mass density   5.9 g cm⁻³
Uncorrected energy   -50.8 eV for the cell shown